Entry 1:
Material: BiHS2
Method: DFT, PBE
State: relaxed

Cell: 6.6748 6.6748 6.6748 Å, 36.72 36.72 36.72°
Atoms (fractional coordinates):
H: 0.0000 0.0000 0.0000
S: 0.9127 0.9127 0.9127
S: 0.0873 0.0873 0.0873
Bi: 0.5000 0.5000 0.5000

Calculated values
Crystal system: trigonal
Distance to the lowest polymorph of the same formula, eV per atom: 0.065
Mass density, g/cm3: 4.780
Uncorrected energy, eV per atom: -4.07


Entry 2:
Material: Th2NbGe3Ir4
Method: DFT, PBE
State: relaxed

Cell: 4.2390 4.2390 10.6161 Å, 90.00 90.00 90.00°
Atoms (fractional coordinates):
Th: 0.5000 0.0000 0.2450
Th: 0.0000 0.5000 0.7550
Nb: 0.5000 0.5000 0.5000
Ge: 0.0000 0.0000 0.5000
Ge: 0.5000 0.0000 0.8705
Ge: 0.0000 0.5000 0.1295
Ir: 0.5000 0.5000 0.0000
Ir: 0.0000 0.0000 0.0000
Ir: 0.5000 0.0000 0.6395
Ir: 0.0000 0.5000 0.3605

Calculated values
Crystal system: tetragonal
Energy relative to the elements, eV per atom: -0.79
Mass density, g/cm3: 13.438
Uncorrected energy, eV per atom: -8.21


Entry 3:
Material: CoW2N
Method: DFT, PBE
State: relaxed

Cell: 2.7669 2.7669 8.0194 Å, 80.07 80.07 60.00°
Last column: magnetic moment on the atom in μB.
Atoms (fractional coordinates):
Co: 0.0000 0.0000 0.0000  1.31
W: 0.1034 0.1034 0.6897  0.02
W: 0.8966 0.8966 0.3103  0.02
N: 0.5000 0.5000 0.5000  -0.01

Calculated values
Crystal system: trigonal
Formation energy without anion corrections, eV/f.u.: 2.27
Mass density, g/cm3: 14.043
Uncorrected energy, eV per atom: -9.77


Entry 4:
Material: TlAg2Pb
Method: DFT, PBE
State: relaxed

Cell: 8.1259 5.4078 3.3123 Å, 92.02 62.96 127.74°
Atoms (fractional coordinates):
Pb: 0.0000 0.5000 0.5000
Tl: 0.5000 0.5000 0.0000
Ag: 0.0000 0.0000 0.0000
Ag: 0.5000 0.0000 0.5000

Calculated values
Crystal system: monoclinic
Distance to the lowest polymorph of the same formula, eV per atom: 0.046
Energy relative to the elements, eV per atom: 0.13
Mass density, g/cm3: 10.825
Uncorrected energy, eV per atom: -2.82


Entry 5:
Material: Cs9Te3O2
Method: DFT, PBE
State: relaxed

Cell: 10.7115 10.7115 10.7115 Å, 85.04 85.04 85.04°
Last column: magnetic moment on the atom in μB.
Atoms (fractional coordinates):
Cs: 0.7332 0.9143 0.0832  0.01
Cs: 0.0857 0.9168 0.2668  0.01
Cs: 0.2500 0.4081 0.0919  0.00
Cs: 0.5857 0.7668 0.4168  0.01
Cs: 0.5919 0.9081 0.7500  0.00
Cs: 0.9081 0.7500 0.5919  0.00
Cs: 0.2332 0.5832 0.4143  0.01
Cs: 0.5832 0.4143 0.2332  0.01
Cs: 0.9168 0.2668 0.0857  0.01
Cs: 0.0832 0.7332 0.9143  0.01
Cs: 0.4168 0.5857 0.7668  0.01
Cs: 0.4081 0.0919 0.2500  0.00
Cs: 0.7668 0.4168 0.5857  0.01
Cs: 0.0919 0.2500 0.4081  0.00
Cs: 0.4143 0.2332 0.5832  0.01
Cs: 0.7500 0.5919 0.9081  0.00
Cs: 0.9143 0.0832 0.7332  0.01
Cs: 0.2668 0.0857 0.9168  0.01
Te: 0.4125 0.7500 0.0875  0.10
Te: 0.2500 0.9125 0.5875  0.10
Te: 0.9125 0.5875 0.2500  0.10
Te: 0.0875 0.4125 0.7500  0.10
Te: 0.7500 0.0875 0.4125  0.10
Te: 0.5875 0.2500 0.9125  0.10
O: 0.1511 0.1511 0.1511  0.25
O: 0.6511 0.6511 0.6511  0.25
O: 0.8489 0.8489 0.8489  0.25
O: 0.3489 0.3489 0.3489  0.25

Calculated values
Crystal system: trigonal
Formation energy without anion corrections, eV/f.u.: -13.93
Mass density, g/cm3: 4.400
Uncorrected energy, eV per atom: -2.93


Entry 6:
Material: PuAg2PdO6
Method: DFT, PBE
State: relaxed

Cell: 5.6219 5.6762 8.0304 Å, 90.00 90.18 90.00°
Last column: magnetic moment on the atom in μB.
Atoms (fractional coordinates):
Pu: 0.5000 0.0000 0.0000  2.47
Pu: 0.0000 0.5000 0.5000  2.47
Ag: 0.0035 0.9751 0.2491  -0.07
Ag: 0.5035 0.5249 0.7491  -0.07
Ag: 0.9965 0.0249 0.7509  -0.07
Ag: 0.4965 0.4751 0.2509  -0.07
Pd: 0.5000 0.0000 0.5000  0.21
Pd: 0.0000 0.5000 0.0000  0.21
O: 0.3028 0.6998 0.0443  -0.09
O: 0.8028 0.8002 0.5443  -0.09
O: 0.6972 0.3002 0.9557  -0.09
O: 0.1972 0.1998 0.4557  -0.09
O: 0.3031 0.7007 0.4545  -0.09
O: 0.8031 0.7993 0.9545  -0.09
O: 0.6969 0.2993 0.5455  -0.09
O: 0.1969 0.2007 0.0455  -0.09
O: 0.9118 0.5265 0.2489  -0.08
O: 0.4118 0.9735 0.7489  -0.08
O: 0.0882 0.4735 0.7511  -0.08
O: 0.5882 0.0265 0.2511  -0.08

Calculated values
Crystal system: monoclinic
Formation energy without anion corrections, eV/f.u.: -10.63
Mass density, g/cm3: 8.581
Uncorrected energy, eV per atom: -6.56


Entry 7:
Material: Ti2InAu2
Method: DFT, PBE
State: relaxed

Cell: 4.0891 4.0891 6.7263 Å, 72.30 72.30 90.00°
Last column: magnetic moment on the atom in μB.
Atoms (fractional coordinates):
Ti: 0.3999 0.3999 0.2003  0.82
Ti: 0.6001 0.6001 0.7997  0.82
Au: 0.7500 0.2500 0.5000  0.03
Au: 0.2500 0.7500 0.5000  0.03
In: 0.0000 0.0000 0.0000  -0.03

Calculated values
Crystal system: tetragonal
Energy relative to the elements, eV per atom: 0.04
Mass density, g/cm3: 9.885
Uncorrected energy, eV per atom: -4.98


Entry 8:
Material: HoCrRe
Method: DFT, PBE
State: relaxed

Cell: 4.9660 4.9660 5.3645 Å, 104.74 104.74 116.76°
Last column: magnetic moment on the atom in μB.
Atoms (fractional coordinates):
Ho: 0.6674 0.3326 0.0000  0.02
Ho: 0.3326 0.6674 0.0000  0.02
Re: 0.8374 0.8374 0.6747  -0.06
Re: 0.1626 0.1626 0.3253  -0.06
Cr: 0.7500 0.2500 0.5000  0.53
Cr: 0.2500 0.7500 0.5000  0.53

Calculated values
Crystal system: orthorhombic
Energy relative to the elements, eV per atom: 0.36
Mass density, g/cm3: 12.963
Uncorrected energy, eV per atom: -8.53


Entry 9:
Material: Sb2As2Pd7
Method: DFT, PBE
State: relaxed

Cell: 4.6630 6.8647 6.8647 Å, 91.57 107.45 107.45°
Atoms (fractional coordinates):
Sb: 0.5000 0.2452 0.7548
Sb: 0.5000 0.7548 0.2452
As: 0.0387 0.2746 0.2746
As: 0.9613 0.7254 0.7254
Pd: 0.1741 0.9352 0.4005
Pd: 0.8259 0.5995 0.0648
Pd: 0.8259 0.0648 0.5995
Pd: 0.1741 0.4005 0.9352
Pd: 0.0000 0.0000 0.0000
Pd: 0.6451 0.3948 0.3948
Pd: 0.3549 0.6052 0.6052

Calculated values
Crystal system: monoclinic
Formation energy without anion corrections, eV/f.u.: -3.26
Mass density, g/cm3: 9.531
Uncorrected energy, eV per atom: -5.20


Entry 10:
Material: URu2Rh
Method: DFT, PBE
State: relaxed

Cell: 3.9397 4.0359 4.0359 Å, 90.00 90.00 90.00°
Atoms (fractional coordinates):
Rh: 0.0000 0.5000 0.5000
U: 0.0000 0.0000 0.0000
Ru: 0.5000 0.0000 0.5000
Ru: 0.5000 0.5000 0.0000

Calculated values
Crystal system: tetragonal
Energy relative to the elements, eV per atom: -0.45
Mass density, g/cm3: 14.053
Uncorrected energy, eV per atom: -9.75


Entry 11:
Material: CoWCl2
Method: DFT, PBE
State: relaxed

Cell: 7.0866 7.0866 4.2056 Å, 85.13 85.13 24.28°
Last column: magnetic moment on the atom in μB.
Atoms (fractional coordinates):
Co: 0.7500 0.7500 0.7500  0.70
W: 0.2500 0.2500 0.2500  0.29
Cl: 0.8827 0.8827 0.0398  0.01
Cl: 0.6173 0.6173 0.4602  0.01

Calculated values
Crystal system: monoclinic
Formation energy without anion corrections, eV/f.u.: 0.68
Distance to the lowest polymorph of the same formula, eV per atom: 0.291
Mass density, g/cm3: 6.021
Uncorrected energy, eV per atom: -5.77


Entry 12:
Material: Er12Fe5Pb
Method: DFT, PBE
State: relaxed

Cell: 8.2354 8.2354 8.2354 Å, 106.62 110.61 111.22°
Last column: magnetic moment on the atom in μB.
Atoms (fractional coordinates):
Er: 0.5345 0.8162 0.7184  -0.12
Er: 0.4655 0.1838 0.2816  -0.12
Er: 0.9022 0.1838 0.7184  -0.12
Er: 0.0978 0.8162 0.2816  -0.12
Er: 0.6974 0.6886 0.3860  -0.11
Er: 0.3026 0.3114 0.6140  -0.11
Er: 0.3026 0.6886 0.9912  -0.11
Er: 0.6974 0.3114 0.0088  -0.11
Er: 0.8044 0.5897 0.7853  0.00
Er: 0.1956 0.4103 0.2147  0.00
Er: 0.1956 0.9809 0.7853  0.00
Er: 0.8044 0.0191 0.2147  0.00
Fe: 0.6170 0.6170 0.0000  1.08
Fe: 0.3830 0.3830 0.0000  1.08
Fe: 0.5000 0.1080 0.6080  1.16
Fe: 0.5000 0.8920 0.3920  1.16
Fe: 0.0000 0.0000 0.0000  -1.07
Pb: 0.0000 0.5000 0.5000  0.01

Calculated values
Crystal system: orthorhombic
Energy relative to the elements, eV per atom: -0.13
Mass density, g/cm3: 9.648
Uncorrected energy, eV per atom: -5.72